Ce4TeC | PBE-GGA | optimized geometry

The structure in CIF format:
```
data_Ce4TeC
_symmetry_space_group_name_H-M 'C 1 2/c 1'
_symmetry_Int_Tables_number 15
_cell_length_a 15.6238
_cell_length_b 6.2798
_cell_length_c 6.2545
_cell_angle_alpha 90.00
_cell_angle_beta 102.80
_cell_angle_gamma 90.00
loop_
_symmetry_equiv_pos_as_xyz
'x,y,z'
'-x,-y,-z'
'-x,y,-z+1/2'
'x,-y,z+1/2'
'x+1/2,y+1/2,z'
'-x+1/2,-y+1/2,-z'
'-x+1/2,y+1/2,-z+1/2'
'x+1/2,-y+1/2,z+1/2'
loop_
_atom_site_label
_atom_site_type_symbol
_atom_site_fract_x
_atom_site_fract_y
_atom_site_fract_z
Ce1 Ce 0.0925 0.1948 0.3146
Ce2 Ce 0.2122 0.3911 0.8350
Te1 Te 0.0000 0.2815 0.7500
C1 C 0.2500 0.2500 0.5000
```

* formation energy from raw total energies: -2.06 eV/f.u.
* magnetic moment: 9.44 μB/cell
* mass density: 7.77 g cm⁻³